[1]
Below is a relaxed LiTiPd14 crystal, with properties calculated at the PBE-GGA level.

POSCAR file:
```
LiTiPd14
1.0
5.5795 0.0000 0.0000
0.0000 5.5795 0.0000
0.0000 0.0000 7.7937
Li Ti Pd
1 1 14
Direct
0.0000 0.0000 0.0000
0.5000 0.5000 0.0000
0.0000 0.0000 0.5000
0.0000 0.5000 0.0000
0.0000 0.5000 0.5000
0.2521 0.2521 0.2433
0.2521 0.2521 0.7567
0.2521 0.7479 0.2433
0.2521 0.7479 0.7567
0.5000 0.0000 0.0000
0.5000 0.0000 0.5000
0.5000 0.5000 0.5000
0.7479 0.2521 0.2433
0.7479 0.2521 0.7567
0.7479 0.7479 0.2433
0.7479 0.7479 0.7567
```

Computed properties:
Calculated density: 10.6 g cm⁻³
Formation energy: -0.231 eV/atom

[2]
Below is a relaxed Y4P crystal, with properties calculated at the PBE-GGA level.

POSCAR file:
```
Y4P
1.0
5.3989 0.0000 0.0000
0.0000 5.3989 0.0000
0.0000 0.0000 5.3989
Y P
4 1
Direct
0.0000 0.0000 0.0000
0.0000 0.5000 0.5000
0.5000 0.0000 0.5000
0.5000 0.5000 0.0000
0.5000 0.5000 0.5000
```

Computed properties:
Calculated density: 4.1 g cm⁻³
Formation energy: -0.447 eV/atom
Energy above the lowest structure with this stoichiometry: 13 meV per atom

[3]
Below is a relaxed Al2TlMoRh crystal, with properties calculated at the PBE-GGA level.

POSCAR file:
```
Al2TlMoRh
1.0
4.6403 0.0000 0.0000
0.0000 4.6403 0.0000
0.0000 0.0000 5.1597
Al Tl Mo Rh
2 1 1 1
Direct
0.0000 0.5000 0.0000
0.5000 0.0000 0.0000
0.0000 0.0000 0.5000
0.5000 0.5000 0.5000
0.0000 0.0000 0.0000
```

Computed properties:
Calculated density: 6.8 g cm⁻³
Formation energy: 0.675 eV/atom

[4]
Below is a relaxed Y4Tl2PS crystal, with properties calculated at the PBE-GGA level.

POSCAR file:
```
Y4Tl2PS
1.0
6.7272 0.0000 0.0000
0.0000 3.8940 0.0000
-2.2523 0.0000 7.9121
Y Tl P S
4 2 1 1
Direct
0.2321 0.0000 0.2021
0.2628 0.5000 0.7965
0.7372 0.5000 0.2035
0.7679 0.0000 0.7979
0.0000 0.0000 0.5000
0.5000 0.5000 0.5000
0.0000 0.5000 0.0000
0.5000 0.0000 0.0000
```

Computed properties:
Calculated density: 6.6 g cm⁻³
Formation energy (no corrections): -1.113 eV/atom

[5]
Below is a relaxed PdWSe2 crystal, with properties calculated at the PBE-GGA level.

POSCAR file:
```
PdWSe2
1.0
-2.9398 2.9398 5.3570
2.9398 -2.9398 5.3570
2.9398 2.9398 -5.3570
Pd W Se
2 2 4
Direct
0.0000 0.0000 0.0000
0.7500 0.2500 0.5000
0.2500 0.7500 0.5000
0.5000 0.5000 0.0000
0.1389 0.6250 0.0139
0.3750 0.3889 0.5139
0.6111 0.1250 0.9861
0.8750 0.8611 0.4861
```

Computed properties:
Calculated density: 8.0 g cm⁻³
Formation energy (no corrections): 0.189 eV/atom
Energy above the lowest structure with this stoichiometry: 285 meV per atom

[6]
Below is a relaxed EuGdErAl crystal, with properties calculated at the PBE-GGA level.

POSCAR file:
```
EuGdErAl
1.0
0.0000 3.8164 3.8164
3.8164 0.0000 3.8164
3.8164 3.8164 0.0000
Eu Gd Er Al
1 1 1 1
Direct
0.0000 0.0000 0.0000
0.7500 0.7500 0.7500
0.2500 0.2500 0.2500
0.5000 0.5000 0.5000
```

Computed properties:
Calculated density: 7.5 g cm⁻³
Formation energy: -0.028 eV/atom

[7]
Below is a relaxed NdSmErMg crystal, with properties calculated at the PBE-GGA level.

POSCAR file:
```
NdSmErMg
1.0
3.6654 0.0000 0.0000
0.0000 3.6654 0.0000
0.0000 0.0000 9.1515
Nd Sm Er Mg
1 1 1 1
Direct
0.0000 0.0000 0.0000
0.5000 0.5000 0.7226
0.5000 0.5000 0.2682
0.0000 0.0000 0.4889
```

Computed properties:
Calculated density: 6.6 g cm⁻³
Formation energy: -0.029 eV/atom
Energy above the lowest structure with this stoichiometry: 0 meV per atom

[8]
Below is a relaxed Cs3Li2PbF9 crystal, with properties calculated at the PBE-GGA level.

POSCAR file:
```
Cs3Li2PbF9
1.0
6.3054 0.0000 0.0000
-3.1527 5.4606 0.0000
0.0000 0.0000 8.3844
Cs Li Pb F
3 2 1 9
Direct
0.0000 0.0000 0.0000
0.3333 0.6667 0.6874
0.6667 0.3333 0.3126
0.3333 0.6667 0.0670
0.6667 0.3333 0.9330
0.0000 0.0000 0.5000
0.0000 0.5000 0.0000
0.1567 0.3133 0.3533
0.1567 0.8433 0.3533
0.3133 0.1567 0.6467
0.5000 0.0000 0.0000
0.5000 0.5000 0.0000
0.6867 0.8433 0.3533
0.8433 0.1567 0.6467
0.8433 0.6867 0.6467
```

Computed properties:
Calculated density: 4.5 g cm⁻³
Formation energy (no corrections): -2.576 eV/atom

Number 5 is which compound?
PdWSe2